Entry 1:
Cr7Os6 | PBE | relaxed

Cell and atoms, written as POSCAR:
```
Cr7Os6
1.0
2.347 1.355 8.723
-2.347 1.355 8.723
0.000 -2.710 8.723
Cr Os
7 6
Cartesian
0.000 0.000 0.000
0.000 -1.341 6.739
-1.161 0.670 6.739
-1.161 -0.670 19.431
1.161 0.670 6.739
1.161 -0.670 19.431
0.000 1.341 19.431
0.000 0.000 4.384
0.000 0.000 9.111
0.000 0.000 11.842
0.000 0.000 14.327
0.000 0.000 17.058
0.000 0.000 21.786
```

Computed properties:
energy = -134.336 eV for the cell shown
space group = R-3m (166)
formation enthalpy at 0 K = 31 meV/atom
total magnetic moment = 0.00 μB/cell


Entry 2:
CrOs2 | PBE | relaxed

Cell and atoms, written as POSCAR:
```
CrOs2
1.0
2.698 0.000 0.000
-1.349 2.337 0.000
0.000 0.000 6.495
Cr Os
1 2
Cartesian
0.000 0.000 0.000
0.000 1.558 2.085
1.349 0.779 4.410
```

Computed properties:
energy = -31.652 eV for the cell shown
space group = P-3m1 (164)
formation enthalpy at 0 K = 144 meV/atom
total magnetic moment = 0.00 μB/cell


Entry 3:
CrOs2 | PBE | relaxed

Cell and atoms, written as POSCAR:
```
CrOs2
1.0
2.666 0.000 0.000
0.000 3.945 0.000
0.000 0.000 17.324
Cr Os
4 8
Cartesian
0.000 0.986 2.023
0.000 2.959 15.301
1.333 0.986 6.639
1.333 2.959 10.685
0.000 0.986 9.362
0.000 0.986 11.891
0.000 2.959 5.433
0.000 2.959 7.962
1.333 0.986 14.095
1.333 0.986 16.624
1.333 2.959 0.700
1.333 2.959 3.229
```

Computed properties:
energy = -121.807 eV for the cell shown
space group = Imma (74)
formation enthalpy at 0 K = 544 meV/atom
total magnetic moment = 2.55 μB/cell


Entry 4:
CrOs2 | PBE | relaxed

Cell and atoms, written as POSCAR:
```
CrOs2
1.0
9.759 0.000 0.000
0.000 2.712 0.000
-1.496 0.000 6.162
Cr Os
4 8
Cartesian
0.000 0.000 0.000
1.145 1.356 2.032
4.880 1.356 0.000
6.025 0.000 2.032
-0.347 0.000 3.755
0.744 1.356 5.854
2.270 0.000 4.115
3.410 0.000 1.697
4.533 1.356 3.755
5.624 0.000 5.854
7.150 1.356 4.115
8.290 1.356 1.697
```

Computed properties:
energy = -128.083 eV for the cell shown
space group = Cm (8)
formation enthalpy at 0 K = 21 meV/atom
total magnetic moment = 0.00 μB/cell


Entry 5:
Cr3Os2 | PBE | relaxed

Cell and atoms, written as POSCAR:
```
Cr3Os2
1.0
4.079 0.000 0.000
-2.040 3.533 0.000
0.000 0.000 5.099
Cr Os
3 2
Cartesian
0.000 0.000 0.000
0.000 2.355 1.819
2.040 1.178 3.281
0.000 2.355 4.226
2.040 1.178 0.873
```

Computed properties:
energy = -48.955 eV for the cell shown
excess energy over the best structure of this formula in the dataset = 1.583 eV/f.u.
space group = P-3m1 (164)
formation enthalpy at 0 K = 475 meV/atom
total magnetic moment = 2.77 μB/cell


Entry 6:
CrOs | PBE | relaxed

Cell and atoms, written as POSCAR:
```
CrOs
1.0
4.653 0.000 0.000
0.000 4.278 0.000
0.000 0.000 5.285
Cr Os
4 4
Cartesian
0.425 1.069 0.646
1.901 3.208 3.288
2.752 1.069 1.997
4.227 3.208 4.639
0.418 1.069 3.309
1.908 3.208 0.667
2.745 1.069 4.618
4.234 3.208 1.976
```

Computed properties:
energy = -82.802 eV for the cell shown
space group = Pnma (62)
formation enthalpy at 0 K = 76 meV/atom
total magnetic moment = 0.00 μB/cell


Entry 7:
Cr2Os3 | PBE | relaxed

Cell and atoms, written as POSCAR:
```
Cr2Os3
1.0
0.000 6.337 2.362
4.525 0.000 2.362
4.525 6.337 0.000
Cr Os
4 6
Cartesian
4.803 3.798 2.362
6.510 6.967 3.543
4.248 8.876 2.362
7.065 12.045 3.543
4.006 1.246 2.187
1.743 1.923 1.006
2.782 4.415 1.006
4.525 6.337 2.141
6.788 9.506 3.322
5.044 11.429 2.187
```

Computed properties:
energy = -104.832 eV for the cell shown
excess energy over the best structure of this formula in the dataset = 0.000 eV/f.u.
space group = Fdd2 (43)
formation enthalpy at 0 K = 104 meV/atom
total magnetic moment = 0.00 μB/cell


Entry 8:
CrOs | PBE | relaxed

Cell and atoms, written as POSCAR:
```
CrOs
1.0
9.696 0.000 0.000
0.000 2.685 0.000
-2.102 0.000 4.056
Cr Os
4 4
Cartesian
0.584 0.000 1.166
2.162 1.343 2.890
5.432 1.343 1.166
7.010 0.000 2.890
-0.455 1.343 3.212
3.202 0.000 0.845
4.393 0.000 3.212
8.050 1.343 0.845
```

Computed properties:
energy = -82.847 eV for the cell shown
space group = C2/m (12)
formation enthalpy at 0 K = 71 meV/atom
total magnetic moment = 0.00 μB/cell


Entry 9:
CrOs | PBE | relaxed

Cell and atoms, written as POSCAR:
```
CrOs
1.0
4.311 0.000 0.000
-2.156 3.733 0.000
0.000 0.000 7.142
Cr Os
4 4
Cartesian
0.000 2.489 0.593
0.000 2.489 2.978
2.156 1.244 4.163
2.156 1.244 6.549
0.000 0.000 1.785
0.000 0.000 5.356
0.000 2.489 5.356
2.156 1.244 1.785
```

Computed properties:
energy = -78.918 eV for the cell shown
space group = P6_3/mmc (194)
formation enthalpy at 0 K = 562 meV/atom
total magnetic moment = 0.01 μB/cell


Entry 10:
Cr3Os2 | PBE | relaxed

Cell and atoms, written as POSCAR:
```
Cr3Os2
1.0
0.000 6.304 2.345
4.393 0.000 2.345
4.393 6.304 0.000
Cr Os
6 4
Cartesian
0.000 0.000 0.000
2.196 3.152 1.172
3.919 5.027 2.213
4.866 7.581 2.213
7.062 8.179 3.385
6.115 10.733 3.385
4.660 2.479 2.039
6.321 5.631 3.212
4.125 10.129 2.039
2.464 6.977 3.212
```

Computed properties:
energy = -101.076 eV for the cell shown
excess energy over the best structure of this formula in the dataset = 0.000 eV/f.u.
space group = Fdd2 (43)
formation enthalpy at 0 K = 158 meV/atom
total magnetic moment = 0.00 μB/cell


Entry 11:
Cr2Os3 | PBE | relaxed

Cell and atoms, written as POSCAR:
```
Cr2Os3
1.0
2.685 0.000 0.000
-1.343 2.326 0.000
0.000 0.000 32.505
Cr Os
6 9
Cartesian
0.000 0.000 3.256
0.000 0.000 29.249
0.000 1.550 18.414
0.000 1.550 24.925
1.343 0.775 7.579
1.343 0.775 14.090
0.000 0.000 9.638
0.000 0.000 16.252
0.000 0.000 22.866
0.000 1.550 5.417
0.000 1.550 12.032
0.000 1.550 31.308
1.343 0.775 1.197
1.343 0.775 20.473
1.343 0.775 27.087
```

Computed properties:
energy = -156.663 eV for the cell shown
excess energy over the best structure of this formula in the dataset = 0.195 eV/f.u.
space group = R-3m (166)
formation enthalpy at 0 K = 143 meV/atom
total magnetic moment = 0.00 μB/cell


Entry 12:
CrOs2 | PBE | relaxed

Cell and atoms, written as POSCAR:
```
CrOs2
1.0
5.241 0.000 0.000
0.000 4.086 0.000
0.000 0.000 7.639
Cr Os
4 8
Cartesian
1.141 1.021 0.844
1.480 3.064 4.664
3.761 1.021 2.975
4.101 3.064 6.794
0.214 1.021 6.001
0.984 1.021 3.337
1.637 3.064 7.156
2.406 3.064 2.182
2.835 1.021 5.457
3.605 1.021 0.482
4.257 3.064 4.302
5.027 3.064 1.638
```

Computed properties:
energy = -127.137 eV for the cell shown
space group = Pnma (62)
formation enthalpy at 0 K = 100 meV/atom
total magnetic moment = 0.00 μB/cell


Entry 13:
CrOs | PBE | relaxed

Cell and atoms, written as POSCAR:
```
CrOs
1.0
7.059 0.000 0.000
-3.529 6.113 0.000
0.000 0.000 4.023
Cr Os
6 6
Cartesian
-0.562 1.357 1.006
-2.074 5.921 1.006
0.894 1.165 3.018
2.635 4.948 1.006
5.603 0.192 3.018
4.091 4.756 3.018
-1.007 2.995 3.018
-0.432 5.487 3.018
2.091 2.370 1.006
1.439 3.743 3.018
3.961 0.626 1.006
4.536 3.118 1.006
```

Computed properties:
energy = -120.300 eV for the cell shown
space group = P6_3/m (176)
formation enthalpy at 0 K = 402 meV/atom
total magnetic moment = 0.00 μB/cell


Entry 14:
CrOs8 | PBE | relaxed

Cell and atoms, written as POSCAR:
```
CrOs8
1.0
-4.075 4.075 1.914
4.075 -4.075 1.914
4.075 4.075 -1.914
Cr Os
1 8
Cartesian
0.000 0.000 0.000
2.701 0.000 0.000
5.449 0.000 0.000
0.000 2.701 0.000
2.728 2.728 0.000
1.347 -1.347 1.914
-1.347 1.347 1.914
1.347 1.347 1.914
0.000 5.449 0.000
```

Computed properties:
energy = -98.306 eV for the cell shown
space group = I4/mmm (139)
formation enthalpy at 0 K = 128 meV/atom
total magnetic moment = 0.00 μB/cell


Entry 15:
CrOs | PBE | relaxed

Cell and atoms, written as POSCAR:
```
CrOs
1.0
2.845 0.000 0.000
0.000 2.845 0.000
0.000 0.000 6.434
Cr Os
2 2
Cartesian
0.711 0.711 0.629
2.134 2.134 5.805
0.711 0.711 4.191
2.134 2.134 2.243
```

Computed properties:
energy = -41.096 eV for the cell shown
space group = P4/nmm (129)
formation enthalpy at 0 K = 153 meV/atom
total magnetic moment = 0.00 μB/cell


Entry 16:
Cr3Os5 | PBE | relaxed

Cell and atoms, written as POSCAR:
```
Cr3Os5
1.0
7.244 0.000 0.000
-3.622 6.274 0.000
0.000 0.000 4.860
Cr Os
6 10
Cartesian
-1.519 2.631 1.215
-2.103 3.643 3.645
3.038 0.000 1.215
1.519 2.631 3.645
4.206 0.000 3.645
2.103 3.643 1.215
-0.789 1.366 3.645
-2.833 4.907 1.215
1.578 0.000 3.645
0.789 1.366 1.215
0.000 4.182 0.000
0.000 4.182 2.430
3.622 2.091 0.000
3.622 2.091 2.430
5.666 0.000 1.215
2.833 4.907 3.645
```

Computed properties:
energy = -163.668 eV for the cell shown
space group = P6_3/mcm (193)
formation enthalpy at 0 K = 398 meV/atom
total magnetic moment = 0.01 μB/cell


Entry 17:
CrOs2 | PBE | relaxed

Cell and atoms, written as POSCAR:
```
CrOs2
1.0
4.276 0.000 0.000
-2.138 3.703 0.000
0.000 0.000 2.670
Cr Os
1 2
Cartesian
0.000 0.000 0.000
0.000 2.469 1.335
2.138 1.234 1.335
```

Computed properties:
energy = -31.219 eV for the cell shown
space group = P6/mmm (191)
formation enthalpy at 0 K = 288 meV/atom
total magnetic moment = 0.00 μB/cell


Entry 18:
CrOs | PBE | relaxed

Cell and atoms, written as POSCAR:
```
CrOs
1.0
7.406 0.000 0.000
0.000 7.406 0.000
0.000 0.000 7.406
Cr Os
8 8
Cartesian
1.384 1.384 1.384
1.384 6.021 6.021
2.318 2.318 5.087
2.318 5.087 2.318
5.087 2.318 2.318
5.087 5.087 5.087
6.021 1.384 6.021
6.021 6.021 1.384
0.999 0.999 6.407
0.999 6.407 0.999
2.704 2.704 2.704
2.704 4.702 4.702
4.702 2.704 4.702
4.702 4.702 2.704
6.407 0.999 0.999
6.407 6.407 6.407
```

Computed properties:
energy = -139.380 eV for the cell shown
space group = I-43m (217)
formation enthalpy at 0 K = 1715 meV/atom
total magnetic moment = 15.44 μB/cell


Entry 19:
CrOs | PBE | relaxed

Cell and atoms, written as POSCAR:
```
CrOs
1.0
3.727 0.000 0.000
0.000 3.727 0.000
0.000 0.000 7.599
Cr Os
4 4
Cartesian
0.000 0.932 2.850
0.000 2.795 4.749
1.863 0.932 0.950
1.863 2.795 6.649
0.000 0.932 6.649
0.000 2.795 0.950
1.863 0.932 4.749
1.863 2.795 2.850
```

Computed properties:
energy = -82.490 eV for the cell shown
space group = I4_1/amd (141)
formation enthalpy at 0 K = 115 meV/atom
total magnetic moment = 0.00 μB/cell


Entry 20:
CrOs2 | PBE | relaxed

Cell and atoms, written as POSCAR:
```
CrOs2
1.0
2.718 0.000 0.000
0.000 13.977 0.000
0.000 0.000 4.279
Cr Os
4 8
Cartesian
0.000 1.529 1.070
0.000 12.447 3.210
1.359 5.459 3.210
1.359 8.518 1.070
0.000 3.101 3.210
0.000 6.201 1.070
0.000 7.776 3.210
0.000 10.875 1.070
1.359 0.788 3.210
1.359 3.887 1.070
1.359 10.090 3.210
1.359 13.189 1.070
```

Computed properties:
energy = -128.175 eV for the cell shown
space group = Cmcm (63)
formation enthalpy at 0 K = 13 meV/atom
total magnetic moment = 0.00 μB/cell